Record 1
A plane-wave DFT calculation with PBE-GGA was carried out for crystalline Sc2Te2O7 at its relaxed geometry.

Unit cell a=6.1847 b=6.1847 c=10.0187 alpha=108.51 beta=108.51 gamma=82.24
Last column: nearest neighbours and their distance in Å.
Positions (direct):
Sc: 0.0593 0.2035 0.4400  6 O 2.07-2.24
Sc: 0.2035 0.0593 0.9400  6 O 2.07-2.24
Sc: 0.7965 0.9407 0.0600  6 O 2.07-2.24
Sc: 0.9407 0.7965 0.5600  6 O 2.07-2.24
Te: 0.0406 0.5314 0.1995  3 O 1.89-1.96
Te: 0.4686 0.9594 0.3005  3 O 1.89-1.96
Te: 0.5314 0.0406 0.6995  3 O 1.89-1.96
Te: 0.9594 0.4686 0.8005  3 O 1.89-1.96
O: 0.0170 0.7844 0.9254  1 Te 1.96, 2 Sc 2.12-2.14
O: 0.0593 0.9407 0.2500  2 Sc 2.07
O: 0.0618 0.4941 0.6422  1 Te 1.94
O: 0.2156 0.9830 0.5746  1 Te 1.96, 2 Sc 2.12-2.14
O: 0.2356 0.3781 0.9227  1 Te 1.89, 1 Sc 2.07
O: 0.3781 0.2356 0.4227  1 Te 1.89, 1 Sc 2.07
O: 0.4941 0.0618 0.1422  1 Te 1.94
O: 0.5059 0.9382 0.8578  1 Te 1.94
O: 0.6219 0.7644 0.5773  1 Te 1.89, 1 Sc 2.07
O: 0.7644 0.6219 0.0773  1 Te 1.89, 1 Sc 2.07
O: 0.7844 0.0170 0.4254  1 Te 1.96, 2 Sc 2.12-2.14
O: 0.9382 0.5059 0.3578  1 Te 1.94
O: 0.9407 0.0593 0.7500  2 Sc 2.07
O: 0.9830 0.2156 0.0746  1 Te 1.96, 2 Sc 2.12-2.14

For the uncorrected formation energy, the calculation gives -2.128 eV/atom. The total magnetization is 0.000 μB/f.u.



Record 2
A plane-wave DFT calculation with PBE-GGA was carried out for crystalline Sm3Y2Cd3 at its relaxed geometry.

Unit cell a=11.6984 b=11.6984 c=11.6984 alpha=161.42 beta=153.00 gamma=32.98
Last column: nearest neighbours and their distance in Å.
Positions (direct):
Sm: 0.0000 0.0000 0.0000  8 Cd 3.27-3.32
Sm: 0.3771 0.8771 0.5000  6 Cd 3.32-3.34, 2 Y 3.69
Sm: 0.6229 0.1229 0.5000  6 Cd 3.32-3.34, 2 Y 3.69
Y: 0.2338 0.2338 0.0000  2 Cd 3.19, 4 Y 3.40
Y: 0.7662 0.7662 0.0000  2 Cd 3.19, 4 Y 3.40
Cd: 0.1190 0.6190 0.5000  2 Y 3.19, 6 Sm 3.27-3.32
Cd: 0.5000 0.5000 0.0000  8 Sm 3.32-3.34
Cd: 0.8810 0.3810 0.5000  2 Y 3.19, 6 Sm 3.27-3.32

The energy of formation from the pure elements is -0.237 eV per atom. The total magnetization is 0.005 μB/f.u.



Record 3
A plane-wave DFT calculation with PBE-GGA was carried out for crystalline KVCu2S4 at its relaxed geometry.

Unit cell a=7.4483 b=9.4592 c=9.4592 alpha=146.77 beta=90.00 gamma=90.00
Last column: nearest neighbours and their distance in Å.
Positions (direct):
K: 0.2500 0.1827 0.8173  9 S 3.36-3.75
K: 0.7500 0.8173 0.1827  9 S 3.36-3.75
V: 0.2500 0.6520 0.8694  4 S 2.17-2.23
V: 0.7500 0.8694 0.6520  4 S 2.17-2.23
Cu: 0.0000 0.7442 0.7442  4 S 2.29-2.31
Cu: 0.2500 0.1540 0.3679  4 S 2.29-2.31
Cu: 0.5000 0.7442 0.7442  4 S 2.29-2.31
Cu: 0.7500 0.3679 0.1540  4 S 2.29-2.31
S: 0.0087 0.4179 0.6348  1 V 2.20, 2 Cu 2.29-2.30
S: 0.2500 0.7899 0.2011  1 V 2.17, 1 Cu 2.29
S: 0.2500 0.9878 0.0023  1 V 2.23, 3 Cu 2.31
S: 0.4913 0.4179 0.6348  1 V 2.20, 2 Cu 2.29-2.30
S: 0.5087 0.6348 0.4179  1 V 2.20, 2 Cu 2.29-2.30
S: 0.7500 0.0023 0.9878  1 V 2.23, 3 Cu 2.31
S: 0.7500 0.2011 0.7899  1 V 2.17, 1 Cu 2.29
S: 0.9913 0.6348 0.4179  1 V 2.20, 2 Cu 2.29-2.30

As for the energy above the most stable polymorph in this dataset: 0.000 eV/atom. For the uncorrected formation energy, the calculation gives -0.826 eV/atom. The total magnetization is 0.000 μB/f.u.



Record 4
A plane-wave DFT calculation with PBE-GGA was carried out for crystalline Rb6Hg3Au at its relaxed geometry.

Unit cell a=13.5662 b=5.0445 c=16.5737 alpha=90.00 beta=112.77 gamma=90.00
Last column: nearest neighbours and their distance in Å.
Positions (direct):
Rb: 0.0112 0.2500 0.3821  3 Hg 3.65-3.81
Rb: 0.0707 0.2500 0.9028  3 Hg 3.89-3.90
Rb: 0.2568 0.7500 0.3317  2 Au 3.55, 3 Hg 3.68-3.74
Rb: 0.3433 0.7500 0.1056  2 Au 3.55, 5 Hg 3.77-3.83
Rb: 0.3511 0.7500 0.7910  4 Hg 3.78-3.90, 1 Au 3.91
Rb: 0.4217 0.2500 0.5923  2 Au 3.66, 2 Hg 3.72, 1 Rb 4.04
Rb: 0.5783 0.7500 0.4077  2 Au 3.66, 2 Hg 3.72, 1 Rb 4.04
Rb: 0.6489 0.2500 0.2090  4 Hg 3.78-3.90, 1 Au 3.91
Rb: 0.6567 0.2500 0.8944  2 Au 3.55, 5 Hg 3.77-3.83
Rb: 0.7432 0.2500 0.6683  2 Au 3.55, 3 Hg 3.68-3.74
Rb: 0.9293 0.7500 0.0972  3 Hg 3.89-3.90
Rb: 0.9888 0.7500 0.6179  3 Hg 3.65-3.81
Hg: 0.1656 0.2500 0.1569  1 Au 2.95
Hg: 0.2035 0.7500 0.5367  7 Rb 3.65-3.90
Hg: 0.4273 0.2500 0.9752  2 Hg 3.11
Hg: 0.5727 0.7500 0.0248  2 Hg 3.11
Hg: 0.7965 0.2500 0.4633  7 Rb 3.65-3.90
Hg: 0.8344 0.7500 0.8431  1 Au 2.95
Au: 0.3964 0.2500 0.2675  1 Hg 2.95
Au: 0.6036 0.7500 0.7325  1 Hg 2.95

The energy of formation from the pure elements is -0.190 eV per atom. The total magnetization is 0.000 μB/f.u.



Record 5
A plane-wave DFT calculation with PBE-GGA was carried out for crystalline Zn4P3 at its relaxed geometry.

Unit cell a=5.1638 b=5.1638 c=4.9217 alpha=90.00 beta=90.00 gamma=120.00
Last column: nearest neighbours and their distance in Å.
Positions (direct):
Zn: 0.0000 0.0000 0.2404  2 Zn 2.37-2.56
Zn: 0.0000 0.0000 0.7596  2 Zn 2.37-2.56
Zn: 0.3333 0.6667 0.0000  6 P 2.88, 9 Zn 2.98-3.21
Zn: 0.6667 0.3333 0.0000  6 P 2.88, 9 Zn 2.98-3.21
P: 0.0000 0.5000 0.5000  4 P 2.58, 8 Zn 2.88
P: 0.5000 0.0000 0.5000  4 P 2.58, 8 Zn 2.88
P: 0.5000 0.5000 0.5000  4 P 2.58, 8 Zn 2.88

The energy of formation from the pure elements is 0.432 eV per atom. As for the energy above the most stable polymorph in this dataset: 0.356 eV/atom. The total magnetization is 0.000 μB/f.u.



Record 6
A plane-wave DFT calculation with PBE-GGA was carried out for crystalline MnBMo4 at its relaxed geometry.

Unit cell a=6.4611 b=6.4611 c=6.4611 alpha=127.62 beta=127.62 gamma=77.24
Last column: nearest neighbours and their distance in Å.
Positions (direct):
Mn: 0.0000 0.0000 0.0000  2 B 2.52, 8 Mo 2.54
Mn: 0.5000 0.5000 0.0000  2 B 2.52, 8 Mo 2.54
B: 0.2500 0.2500 0.0000  8 Mo 2.41, 2 Mn 2.52
B: 0.7500 0.7500 0.0000  8 Mo 2.41, 2 Mn 2.52
Mo: 0.0300 0.5300 0.8340  2 B 2.41, 2 Mn 2.54, 2 Mo 2.64-2.69
Mo: 0.1960 0.0300 0.5000  2 B 2.41, 2 Mn 2.54, 2 Mo 2.64-2.69
Mo: 0.3040 0.8040 0.8340  2 B 2.41, 2 Mn 2.54, 2 Mo 2.64-2.69
Mo: 0.4700 0.3040 0.5000  2 B 2.41, 2 Mn 2.54, 2 Mo 2.64-2.69
Mo: 0.5300 0.6960 0.5000  2 B 2.41, 2 Mn 2.54, 2 Mo 2.64-2.69
Mo: 0.6960 0.1960 0.1660  2 B 2.41, 2 Mn 2.54, 2 Mo 2.64-2.69
Mo: 0.8040 0.9700 0.5000  2 B 2.41, 2 Mn 2.54, 2 Mo 2.64-2.69
Mo: 0.9700 0.4700 0.1660  2 B 2.41, 2 Mn 2.54, 2 Mo 2.64-2.69

The energy of formation from the pure elements is 0.089 eV per atom. The total magnetization is 0.000 μB/f.u.



Record 7
A plane-wave DFT calculation with PBE-GGA was carried out for crystalline Y2ZnBi at its relaxed geometry.

Unit cell a=3.9304 b=3.9304 c=6.7694 alpha=90.00 beta=90.00 gamma=90.00
Last column: nearest neighbours and their distance in Å.
Positions (direct):
Y: 0.0000 0.0000 0.2429  4 Zn 3.23, 4 Bi 3.28, 2 Y 3.29-3.48
Y: 0.0000 0.0000 0.7571  4 Zn 3.23, 4 Bi 3.28, 2 Y 3.29-3.48
Zn: 0.5000 0.5000 0.0000  8 Y 3.23, 2 Bi 3.38
Bi: 0.5000 0.5000 0.5000  8 Y 3.28, 2 Zn 3.38

The energy of formation from the pure elements is -0.487 eV per atom. As for the energy above the most stable polymorph in this dataset: 0.000 eV/atom. The total magnetization is 0.612 μB/f.u.



Record 8
A plane-wave DFT calculation with PBE-GGA was carried out for crystalline Zn5Ir4 at its relaxed geometry.

Unit cell a=6.0362 b=6.0362 c=6.0362 alpha=96.08 beta=96.08 gamma=142.02
Last column: nearest neighbours and their distance in Å.
Positions (direct):
Zn: 0.0000 0.0000 0.0000  4 Ir 2.67, 8 Zn 2.76
Zn: 0.3305 0.3305 0.6610  6 Ir 2.67-2.73, 6 Zn 2.69-2.76
Zn: 0.3305 0.6695 0.0000  6 Ir 2.67-2.73, 6 Zn 2.69-2.76
Zn: 0.6695 0.3305 0.0000  6 Ir 2.67-2.73, 6 Zn 2.69-2.76
Zn: 0.6695 0.6695 0.3390  6 Ir 2.67-2.73, 6 Zn 2.69-2.76
Ir: 0.0000 0.3309 0.3309  7 Zn 2.67-2.73, 5 Ir 2.73-2.75
Ir: 0.0000 0.6691 0.6691  7 Zn 2.67-2.73, 5 Ir 2.73-2.75
Ir: 0.3309 0.0000 0.3309  7 Zn 2.67-2.73, 5 Ir 2.73-2.75
Ir: 0.6691 0.0000 0.6691  7 Zn 2.67-2.73, 5 Ir 2.73-2.75

The energy of formation from the pure elements is -0.122 eV per atom. As for the energy above the most stable polymorph in this dataset: 0.000 eV/atom. The total magnetization is 0.000 μB/f.u.



Total DFT energy (no corrections) values, unit hartree per atom, following the record order: -0.2574, -0.1457, -0.1908, -0.0437, -0.0961, -0.3591, -0.1840, -0.1752.